Record 1
Here is a crystal of Al3Rh relaxed with PBEsol from Alexandria via LeMat-Bulk. Energies are from meta-GGA SCAN.

## Properties
Electronic total energy ... -14.7985 eV/atom
Formation energy ... -0.5418 eV/atom
Calculated density ... 5.371 g/cm3

Lattice parameters (Å, degrees): 4.3002 4.3002 3.0738 90.00 90.00 90.00
With the nearest neighbours (Å) after each atom.
Space group P4/mmm (No. 123)
Symmetry-distinct sites (fractional):
Al 0.0000 0.0000 0.0000 x1  8 Al 2.64
Al 0.0000 0.5000 0.5000 x2  4 Al 2.64, 4 Rh 2.64
Rh 0.5000 0.5000 0.0000 x1  8 Al 2.64

Record 2
Here is a crystal of AlRh3 relaxed with PBEsol from Alexandria via LeMat-Bulk. Energies are from meta-GGA SCAN.

## Properties
Electronic total energy ... -27.8376 eV/atom
Formation energy ... -0.5710 eV/atom
Calculated density ... 10.342 g/cm3

Lattice parameters (Å, degrees): 5.3780 5.3780 4.3036 90.00 90.00 120.00
With the nearest neighbours (Å) after each atom.
Space group P6_3/mmc (No. 194)
Symmetry-distinct sites (fractional):
Al 0.3333 0.6667 0.2500 x2  12 Rh 2.65-2.69
Rh 0.1673 0.3345 0.7500 x6  4 Al 2.65-2.69, 8 Rh 2.66-2.70

- The lowest electronic total energy belongs to which entry?
  AlRh3

- Which formula does entry 1 have?
  Al3Rh

- What is the calculated density in the second record?
  10.342 g/cm3